(1)
Density functional theory data (PBE) for a relaxed structure of PmTaN2O.

Properties
ΔE_f (raw) (meV/atom): -1815
Calculated density (g/cm3): 9.4
Total energy (hartree per atom): -0.348

a b c (Å): 5.689 5.689 5.689
angles (deg): 119.58 119.58 90.73
Element x y z (fractional)
Pm: 0.000 0.500 0.500
Pm: 0.500 0.000 0.500
Ta: 0.254 0.254 0.000
Ta: 0.754 0.754 0.000
N: 0.071 0.571 0.114
N: 0.456 0.956 0.886
N: 0.571 0.456 0.500
N: 0.956 0.071 0.500
O: 0.009 0.009 0.000
O: 0.509 0.509 0.000

***

(2)
Density functional theory data (PBE) for a relaxed structure of KInGa.

Properties
DFT formation energy (eV/atom): 0.0750
Calculated density (g/cm3): 3.8
Total energy (hartree per atom): -0.081

a b c (Å): 5.620 5.620 6.586
angles (deg): 90.00 90.00 109.55
Element x y z (fractional)
K: 0.132 0.868 0.750
K: 0.868 0.132 0.250
In: 0.500 0.500 0.000
In: 0.500 0.500 0.500
Ga: 0.245 0.755 0.250
Ga: 0.755 0.245 0.750

***

(3)
Density functional theory data (PBE) for a relaxed structure of Nd6Sm3Y2.

Properties
DFT formation energy (eV/atom): 0.0108
Calculated density (g/cm3): 6.6
Total energy (hartree per atom): -0.186

a b c (Å): 32.770 32.770 32.770
angles (deg): 6.38 6.38 6.38
Element x y z (fractional)
Nd: 0.091 0.091 0.091
Nd: 0.182 0.182 0.182
Nd: 0.364 0.364 0.364
Nd: 0.636 0.636 0.636
Nd: 0.818 0.818 0.818
Nd: 0.909 0.909 0.909
Sm: 0.000 0.000 0.000
Sm: 0.273 0.273 0.273
Sm: 0.727 0.727 0.727
Y: 0.455 0.455 0.455
Y: 0.545 0.545 0.545

***

(4)
Density functional theory data (PBE) for a relaxed structure of TeWSe2.

Properties
ΔE_f (raw) (meV/atom): 346
Calculated density (g/cm3): 8.3
Total energy (hartree per atom): -0.199

a b c (Å): 3.079 3.079 11.119
angles (deg): 90.00 90.00 116.51
Element x y z (fractional)
Te: 0.000 0.000 0.000
W: 0.000 0.000 0.500
Se: 0.500 0.500 0.321
Se: 0.500 0.500 0.679

***

(5)
Density functional theory data (PBE) for a relaxed structure of LaCdTePH.

Properties
Calculated density (g/cm3): 6.1
Total energy (hartree per atom): -0.152

a b c (Å): 4.275 4.275 7.149
angles (deg): 96.82 96.82 59.73
Element x y z (fractional)
La: 0.000 0.000 0.000
Cd: 0.715 0.715 0.400
Te: 0.289 0.289 0.698
P: 0.368 0.368 0.257
H: 0.667 0.667 0.987

***

(6)
Density functional theory data (PBE) for a relaxed structure of LaAlAsO6.

Properties
ΔE_f (raw) (meV/atom): -2253
Calculated density (g/cm3): 5.0
Total energy (hartree per atom): -0.259

a b c (Å): 5.002 5.002 5.213
angles (deg): 90.00 90.00 120.00
Element x y z (fractional)
La: 0.000 0.000 0.000
Al: 0.667 0.333 0.500
As: 0.333 0.667 0.500
O: 0.009 0.381 0.701
O: 0.009 0.628 0.299
O: 0.372 0.381 0.299
O: 0.372 0.991 0.701
O: 0.619 0.628 0.701
O: 0.619 0.991 0.299

***

Copy entry 3 word for word.
Density functional theory data (PBE) for a relaxed structure of Nd6Sm3Y2.

Properties
DFT formation energy (eV/atom): 0.0108
Calculated density (g/cm3): 6.6
Total energy (hartree per atom): -0.186

a b c (Å): 32.770 32.770 32.770
angles (deg): 6.38 6.38 6.38
Element x y z (fractional)
Nd: 0.091 0.091 0.091
Nd: 0.182 0.182 0.182
Nd: 0.364 0.364 0.364
Nd: 0.636 0.636 0.636
Nd: 0.818 0.818 0.818
Nd: 0.909 0.909 0.909
Sm: 0.000 0.000 0.000
Sm: 0.273 0.273 0.273
Sm: 0.727 0.727 0.727
Y: 0.455 0.455 0.455
Y: 0.545 0.545 0.545